The following is a DFT calculation (PBE) of an optimized crystal structure of PmYIn4.

Cell: 5.0232 7.1789 8.7021 Å, 90.00 90.00 90.00°
Closest atoms and distances in Å follow each position.
Space group Imm2 (No. 44)
Asymmetric unit:
1 Pm 0.0000 0.0000 0.0000 (multiplicity 2)  12 In 3.36-3.46, 2 Y 3.59
2 Y 0.0000 0.5000 0.0035 (multiplicity 2)  12 In 3.37-3.46, 2 Pm 3.59
3 In 0.0000 0.2365 0.3351 (multiplicity 4)  3 In 2.90-2.91
4 In 0.0000 0.2405 0.6681 (multiplicity 4)  3 In 2.90-2.91

Calculated values
energy relative to the elements = -431 meV per atom
size of the total moment = 0.0000 μB per atom
energy above the most stable polymorph in this dataset = 0.0 meV per atom
uncorrected energy = -4.1253 eV per atom